(1)
## ZrCd2Cl (PBE-GGA)

Data for an optimized crystal structure of ZrCd2Cl.

Cell: 14.8406 2.9996 4.4215 Å, 90.00 107.21 90.00°
Last column: nearest neighbours and their distance in Å.
Space group C2/m (No. 12)
Unique sites:
1 Zr 0.0000 0.0000 0.0000 (multiplicity 2)  4 Cl 2.67
2 Cd 0.1963 0.5000 0.1970 (multiplicity 4)  6 Cd 3.00-3.08, 2 Zr 3.16
3 Cl 0.0000 0.5000 0.5000 (multiplicity 2)  4 Zr 2.67

Summary:
E above lowest polymorph in meV per atom: 236.3
Electronic total energy in eV per formula unit: -13.30
Magnetic moment in μB/f.u.: 0.00

---

(2)
## ZrCdCl6 (PBE-GGA)

Data for an optimized crystal structure of ZrCdCl6.

Cell: 6.7760 12.0734 6.6254 Å, 90.00 93.46 90.00°
Last column: nearest neighbours and their distance in Å.
Space group C2/m (No. 12)
Unique sites:
1 Zr 0.0000 0.0000 0.0000 (multiplicity 2)  6 Cl 2.50
2 Cd 0.0000 0.0000 0.5000 (multiplicity 2)  6 Cl 2.68-2.69
3 Cl 0.1467 0.1432 0.7805 (multiplicity 8)  1 Zr 2.50, 1 Cd 2.68
4 Cl 0.2047 0.5000 0.7541 (multiplicity 4)  1 Zr 2.50, 1 Cd 2.69

Summary:
E above lowest polymorph in meV per atom: 0.0
Electronic total energy in eV per formula unit: -32.36
Magnetic moment in μB/f.u.: 0.00

---

(3)
## ZrCd2Cl (PBE-GGA)

Data for an optimized crystal structure of ZrCd2Cl.

Cell: 3.3524 3.3524 27.8361 Å, 90.00 90.00 120.00°
Last column: nearest neighbours and their distance in Å.
Space group R-3m (No. 166, hexagonal axes)
Unique sites:
1 Zr 0.0000 0.0000 0.0000 (multiplicity 3)  6 Cd 3.12, 6 Zr 3.35
2 Cd 0.0000 0.0000 0.2453 (multiplicity 6)  3 Cl 2.92, 3 Zr 3.12
3 Cl 0.0000 0.0000 0.5000 (multiplicity 3)  6 Cd 2.92

Summary:
E above lowest polymorph in meV per atom: 236.0
Electronic total energy in eV per formula unit: -13.31
Magnetic moment in μB/f.u.: 0.00

---

(4)
## ZrCd2Cl (PBE-GGA)

Data for an optimized crystal structure of ZrCd2Cl.

Cell: 8.3735 8.3735 5.4842 Å, 90.00 90.00 90.00°
Last column: nearest neighbours and their distance in Å.
Space group I-42d (No. 122)
Unique sites:
1 Zr 0.0000 0.0000 0.0000 (multiplicity 4)  2 Cl 2.74, 4 Cd 3.02
2 Cd 0.2471 0.7500 0.1250 (multiplicity 8)  2 Cd 2.74, 2 Zr 3.02, 2 Cl 3.06
3 Cl 0.0000 0.0000 0.5000 (multiplicity 4)  2 Zr 2.74, 4 Cd 3.06

Summary:
E above lowest polymorph in meV per atom: 528.0
Electronic total energy in eV per formula unit: -12.14
Magnetic moment in μB/f.u.: 0.34

---

(5)
## ZrCd2Cl (PBE-GGA)

Data for an optimized crystal structure of ZrCd2Cl.

Cell: 3.2058 3.2058 33.1163 Å, 90.00 90.00 120.00°
Last column: nearest neighbours and their distance in Å.
Space group R3m (No. 160, hexagonal axes)
Unique sites:
1 Zr 0.0000 0.0000 0.0000 (multiplicity 3)  3 Cl 2.61
2 Cd 0.0000 0.0000 0.2558 (multiplicity 3)  3 Zr 3.17, 9 Cd 3.21-3.35
3 Cd 0.0000 0.0000 0.5048 (multiplicity 3)  9 Cd 3.21-3.35
4 Cl 0.0000 0.0000 0.7222 (multiplicity 3)  3 Zr 2.61

Summary:
E above lowest polymorph in meV per atom: 0.0
Electronic total energy in eV per formula unit: -14.25
Magnetic moment in μB/f.u.: 0.04

---

(6)
## ZrCd2Cl (PBE-GGA)

Data for an optimized crystal structure of ZrCd2Cl.

Cell: 5.2083 5.2083 3.4266 Å, 90.00 90.00 90.00°
Last column: nearest neighbours and their distance in Å.
Space group P4/mmm (No. 123)
Unique sites:
1 Zr 0.0000 0.0000 0.0000 (multiplicity 1)  8 Cd 3.12, 2 Zr 3.43
2 Cd 0.0000 0.5000 0.5000 (multiplicity 2)  4 Cl 3.12, 4 Zr 3.12, 2 Cd 3.43
3 Cl 0.5000 0.5000 0.0000 (multiplicity 1)  8 Cd 3.12, 2 Cl 3.43

Summary:
E above lowest polymorph in meV per atom: 445.2
Electronic total energy in eV per formula unit: -12.47
Magnetic moment in μB/f.u.: 0.00

---

(7)
## Cd5Co (PBE-GGA)

Data for an optimized crystal structure of Cd5Co.

Cell: 5.5514 5.5514 5.0388 Å, 90.00 90.00 120.00°
Last column: nearest neighbours and their distance in Å.
Space group P6/mmm (No. 191)
Unique sites:
1 Cd 0.0000 0.5000 0.0000 (multiplicity 3)  8 Cd 2.78-2.99
2 Cd 0.3333 0.6667 0.5000 (multiplicity 2)  9 Cd 2.99-3.21, 3 Co 3.21
3 Co 0.0000 0.0000 0.5000 (multiplicity 1)  6 Cd 3.21

Summary:
E above lowest polymorph in meV per atom: 366.3
Electronic total energy in eV per formula unit: -8.55
Magnetic moment in μB/f.u.: 1.73

---

(8)
## CdCo2 (PBE-GGA)

Data for an optimized crystal structure of CdCo2.

Cell: 7.4208 7.4208 2.6622 Å, 90.00 90.00 120.00°
Last column: nearest neighbours and their distance in Å.
Space group P-62m (No. 189)
Unique sites:
1 Cd 0.0000 0.0000 0.0000 (multiplicity 1)  9 Co 2.63-2.67, 2 Cd 2.66
2 Cd 0.3333 0.6667 0.5000 (multiplicity 2)  9 Co 2.56-2.74, 2 Cd 2.66
3 Co 0.0000 0.3119 0.5000 (multiplicity 3)  4 Cd 2.56-2.67, 8 Co 2.66-2.82
4 Co 0.0000 0.6453 0.0000 (multiplicity 3)  5 Cd 2.63-2.74, 8 Co 2.66-2.82

Summary:
Electronic total energy in eV per formula unit: -13.70
Magnetic moment in μB/f.u.: 3.07

---

(9)
## Cd2Co (PBE-GGA)

Data for an optimized crystal structure of Cd2Co.

Cell: 2.9586 2.9586 7.0535 Å, 90.00 90.00 120.00°
Last column: nearest neighbours and their distance in Å.
Space group P-3m1 (No. 164)
Unique sites:
1 Cd 0.3333 0.6667 0.1938 (multiplicity 2)  3 Co 2.75, 6 Cd 2.96
2 Co 0.0000 0.0000 0.5000 (multiplicity 1)  6 Cd 2.75, 6 Co 2.96

Summary:
Electronic total energy in eV per formula unit: -7.96
Magnetic moment in μB/f.u.: 1.57

---

(10)
## CdCo3 (PBE-GGA)

Data for an optimized crystal structure of CdCo3.

Cell: 5.2906 7.4265 2.6922 Å, 90.00 90.00 90.00°
Last column: nearest neighbours and their distance in Å.
Space group Cmmm (No. 65)
Unique sites:
1 Cd 0.0000 0.0000 0.0000 (multiplicity 2)  10 Co 2.65, 2 Cd 2.69
2 Co 0.0000 0.5000 0.0000 (multiplicity 2)  2 Cd 2.65, 10 Co 2.65-2.69
3 Co 0.2500 0.2500 0.5000 (multiplicity 4)  8 Co 2.65-2.69, 4 Cd 2.65

Summary:
Electronic total energy in eV per formula unit: -20.68
Magnetic moment in μB/f.u.: 4.77

---

(11)
## CdCo3 (PBE-GGA)

Data for an optimized crystal structure of CdCo3.

Cell: 8.4133 8.4133 2.6147 Å, 90.00 90.00 120.00°
Last column: nearest neighbours and their distance in Å.
Space group R-3m (No. 166, hexagonal axes)
Unique sites:
1 Cd 0.0000 0.0000 0.0000 (multiplicity 3)  6 Co 2.58, 2 Cd 2.61
2 Co 0.0000 0.5000 0.0000 (multiplicity 9)  6 Co 2.58-2.61, 2 Cd 2.58

Summary:
Electronic total energy in eV per formula unit: -20.54
Magnetic moment in μB/f.u.: 4.80

---

(12)
## CdCo3 (PBE-GGA)

Data for an optimized crystal structure of CdCo3.

Cell: 2.8695 4.3499 8.5276 Å, 90.00 90.00 90.00°
Last column: nearest neighbours and their distance in Å.
Space group Immm (No. 71)
Unique sites:
1 Cd 0.0000 0.0000 0.0000 (multiplicity 2)  12 Co 2.61-2.92, 2 Cd 2.87
2 Co 0.0000 0.0000 0.5000 (multiplicity 2)  4 Co 2.41, 4 Cd 2.61
3 Co 0.0000 0.5000 0.2277 (multiplicity 4)  6 Co 2.41-2.63

Summary:
Electronic total energy in eV per formula unit: -20.96
Magnetic moment in μB/f.u.: 4.93

---

(13)
## CdCo3 (PBE-GGA)

Data for an optimized crystal structure of CdCo3.

Cell: 4.6720 8.5579 5.2893 Å, 90.00 90.00 90.00°
Last column: nearest neighbours and their distance in Å.
Space group Pnma (No. 62)
Unique sites:
1 Cd 0.0491 0.2500 0.1176 (multiplicity 4)  10 Co 2.56-2.75, 2 Cd 2.72
2 Co 0.0632 0.2500 0.6345 (multiplicity 4)  6 Co 2.41-2.64, 2 Cd 2.56-2.63
3 Co 0.2174 0.5141 0.3589 (multiplicity 8)  7 Co 2.41-2.67, 1 Cd 2.67

Summary:
Electronic total energy in eV per formula unit: -20.94
Magnetic moment in μB/f.u.: 4.64

---

(14)
## Cd3Co (PBE-GGA)

Data for an optimized crystal structure of Cd3Co.

Cell: 3.0235 3.0235 9.4970 Å, 90.00 90.00 120.00°
Last column: nearest neighbours and their distance in Å.
Space group P-6m2 (No. 187)
Unique sites:
1 Cd 0.0000 0.0000 0.0000 (multiplicity 1)  12 Cd 3.02-3.17
2 Cd 0.6667 0.3333 0.2789 (multiplicity 2)  3 Co 2.73, 6 Cd 3.02
3 Co 0.0000 0.0000 0.5000 (multiplicity 1)  6 Cd 2.73, 6 Co 3.02

Summary:
Electronic total energy in eV per formula unit: -8.88
Magnetic moment in μB/f.u.: 1.41

---

(15)
## CdCo2 (PBE-GGA)

Data for an optimized crystal structure of CdCo2.

Cell: 5.9157 5.9157 5.3088 Å, 90.00 90.00 90.00°
Last column: nearest neighbours and their distance in Å.
Space group I4/mcm (No. 140)
Unique sites:
1 Cd 0.0000 0.0000 0.2500 (multiplicity 4)  2 Cd 2.65, 8 Co 2.68
2 Co 0.1277 0.3723 0.0000 (multiplicity 8)  1 Co 2.14

Summary:
Electronic total energy in eV per formula unit: -12.95
Magnetic moment in μB/f.u.: 3.38

---

(16)
## CdCo3 (PBE-GGA)

Data for an optimized crystal structure of CdCo3.

Cell: 2.6772 2.6772 25.7439 Å, 90.00 90.00 120.00°
Last column: nearest neighbours and their distance in Å.
Space group R-3m (No. 166, hexagonal axes)
Unique sites:
1 Cd 0.0000 0.0000 0.0000 (multiplicity 3)  6 Cd 2.68, 6 Co 2.85
2 Co 0.0000 0.0000 0.2404 (multiplicity 6)  9 Co 2.45-2.68
3 Co 0.0000 0.0000 0.5000 (multiplicity 3)  12 Co 2.45-2.68

Summary:
Electronic total energy in eV per formula unit: -21.03
Magnetic moment in μB/f.u.: 4.82

---

(17)
## CdCo3 (PBE-GGA)

Data for an optimized crystal structure of CdCo3.

Cell: 5.9553 5.9553 5.9553 Å, 90.00 90.00 90.00°
Last column: nearest neighbours and their distance in Å.
Space group Fm-3m (No. 225)
Unique sites:
1 Cd 0.0000 0.0000 0.0000 (multiplicity 4)  8 Co 2.58
2 Co 0.0000 0.0000 0.5000 (multiplicity 4)  8 Co 2.58
3 Co 0.2500 0.2500 0.2500 (multiplicity 8)  4 Cd 2.58, 4 Co 2.58

Summary:
Electronic total energy in eV per formula unit: -20.78
Magnetic moment in μB/f.u.: 4.71

---

(18)
## Cd8Co (PBE-GGA)

Data for an optimized crystal structure of Cd8Co.

Cell: 9.3864 9.3864 4.1413 Å, 90.00 90.00 90.00°
Last column: nearest neighbours and their distance in Å.
Space group I4/mmm (No. 139)
Unique sites:
1 Cd 0.0000 0.3252 0.0000 (multiplicity 8)  11 Cd 2.99-3.28, 1 Co 3.05
2 Cd 0.1567 0.1567 0.5000 (multiplicity 8)  2 Co 2.94, 10 Cd 2.94-3.23
3 Co 0.0000 0.0000 0.0000 (multiplicity 2)  12 Cd 2.94-3.05

Summary:
Electronic total energy in eV per formula unit: -13.12
Magnetic moment in μB/f.u.: 0.02

---

(19)
## Cd5Co (PBE-GGA)

Data for an optimized crystal structure of Cd5Co.

Cell: 11.2063 3.0663 7.2410 Å, 90.00 107.30 90.00°
Last column: nearest neighbours and their distance in Å.
Space group Cm (No. 8)
Unique sites:
1 Cd 0.0000 0.0000 0.0000 (multiplicity 2)  2 Co 2.74, 9 Cd 2.92-3.07
2 Cd 0.0166 0.0000 0.6052 (multiplicity 2)  10 Cd 2.92-3.23, 2 Co 3.06
3 Cd 0.1564 0.5000 0.3451 (multiplicity 2)  11 Cd 3.01-3.22, 1 Co 3.03
4 Cd 0.2931 0.0000 0.7148 (multiplicity 2)  2 Co 2.76, 7 Cd 2.96-3.07
5 Cd 0.3555 0.0000 0.2288 (multiplicity 2)  2 Co 2.78, 6 Cd 3.03-3.07
6 Co 0.1897 0.5000 0.9456 (multiplicity 2)  9 Cd 2.74-3.06, 2 Co 3.07

Summary:
E above lowest polymorph in meV per atom: 0.0
Electronic total energy in eV per formula unit: -10.74
Magnetic moment in μB/f.u.: 1.29

---

(20)
## Cd2Co (PBE-GGA)

Data for an optimized crystal structure of Cd2Co.

Cell: 5.6074 4.4401 8.3814 Å, 90.00 90.00 90.00°
Last column: nearest neighbours and their distance in Å.
Space group Pnma (No. 62)
Unique sites:
1 Cd 0.0630 0.2500 0.2156 (multiplicity 4)  5 Co 2.73-3.04, 5 Cd 2.86-2.98
2 Cd 0.1706 0.2500 0.5634 (multiplicity 4)  5 Co 2.73-2.85, 3 Cd 2.96-2.98
3 Co 0.1737 0.2500 0.8897 (multiplicity 4)  10 Cd 2.73-3.04

Summary:
Electronic total energy in eV per formula unit: -8.01
Magnetic moment in μB/f.u.: 1.18

---

Number 1: DOS(E_F) 3.82 states/eV/cell. Number 2: DOS(E_F) 0.00 states/eV/cell. Number 3: DOS(E_F) 11.01 states/eV/cell. Number 4: DOS(E_F) 15.41 states/eV/cell. Number 5: DOS(E_F) 11.59 states/eV/cell. Number 6: DOS(E_F) 2.17 states/eV/cell. Number 7: DOS(E_F) 6.23 states/eV/cell. Number 8: DOS(E_F) 10.83 states/eV/cell. Number 9: DOS(E_F) 3.37 states/eV/cell. Number 10: DOS(E_F) 13.29 states/eV/cell. Number 11: DOS(E_F) 19.14 states/eV/cell. Number 12: DOS(E_F) 8.49 states/eV/cell. Number 13: DOS(E_F) 19.53 states/eV/cell. Number 14: DOS(E_F) 4.19 states/eV/cell. Number 15: DOS(E_F) 13.91 states/eV/cell. Number 16: DOS(E_F) 11.10 states/eV/cell. Number 17: DOS(E_F) 20.56 states/eV/cell. Number 18: DOS(E_F) 8.09 states/eV/cell. Number 19: DOS(E_F) 8.27 states/eV/cell. Number 20: DOS(E_F) 14.85 states/eV/cell.